Entry 1:
A relaxed Fe2AgPd crystal, computed with PBEsol.

Unit cell a=4.2765 b=4.2765 c=4.2765 alpha=60.00 beta=60.00 gamma=60.00
Site moments in Bohr magnetons follow the coordinates.
Positions (direct):
Pd 0.0000 0.0000 0.0000  0.26
Fe 0.2500 0.2500 0.2500  2.94
Fe 0.7500 0.7500 0.7500  2.94
Ag 0.5000 0.5000 0.5000  0.02


Entry 2:
A relaxed FeAg2Pt crystal, computed with PBEsol.

Unit cell a=2.7667 b=4.7212 c=4.8842 alpha=100.00 beta=90.00 gamma=107.04
Site moments in Bohr magnetons follow the coordinates.
Positions (direct):
Ag 0.0017 0.0033 0.9931  -0.01
Ag 0.2456 0.4913 0.7557  0.00
Pt 0.7565 0.5131 0.2748  0.19
Fe 0.4962 0.9923 0.4764  2.95


Number 1: formation energy 0.356 eV per atom. Number 2: formation energy 0.145 eV per atom.